[1]
VASP calculation (PBE) on a relaxed structure of TbDyCd.

Summary:
ΔH_f (0 K), meV/atom: -194
Excess energy over the best structure of this formula in the dataset, meV/atom: 0.0

Unit cell a=3.618 b=3.618 c=12.977 alpha=90.00 beta=90.00 gamma=90.00
Space group I4mm (No. 107)
Unique sites:
Tb: 0.000 0.000 0.000 x2
Dy: 0.000 0.000 0.313 x2
Cd: 0.000 0.000 0.658 x2

=====

[2]
VASP calculation (PBE) on a relaxed structure of Y2InTcN.

Summary:
Raw formation energy, eV/atom: -0.71

Unit cell a=4.981 b=4.981 c=3.945 alpha=90.00 beta=90.00 gamma=90.00
Space group P4/mmm (No. 123)
Unique sites:
Y: 0.000 0.500 0.000 x2
In: 0.000 0.000 0.500 x1
Tc: 0.500 0.500 0.500 x1
N: 0.500 0.500 0.000 x1

=====

[3]
VASP calculation (PBE) on a relaxed structure of Tm5RhPb2.

Summary:
ΔH_f (0 K), meV/atom: -568
Excess energy over the best structure of this formula in the dataset, meV/atom: 0.0

Unit cell a=7.920 b=12.083 c=4.516 alpha=90.00 beta=90.00 gamma=90.00
Space group Pbam (No. 55)
Unique sites:
Tm: 0.000 0.000 0.000 x2
Tm: 0.142 0.300 0.000 x4
Tm: 0.184 0.568 0.500 x4
Rh: 0.000 0.500 0.000 x2
Pb: 0.071 0.827 0.500 x4

=====

Please write out number 1 again, unchanged.
VASP calculation (PBE) on a relaxed structure of TbDyCd.

Summary:
ΔH_f (0 K), meV/atom: -194
Excess energy over the best structure of this formula in the dataset, meV/atom: 0.0

Unit cell a=3.618 b=3.618 c=12.977 alpha=90.00 beta=90.00 gamma=90.00
Space group I4mm (No. 107)
Unique sites:
Tb: 0.000 0.000 0.000 x2
Dy: 0.000 0.000 0.313 x2
Cd: 0.000 0.000 0.658 x2

=====

Number 2 is which compound?
Y2InTcN